Record 1
ScCu5Au8 after structural relaxation, computed with GGA-PBE.

Cell lengths 6.7848, 6.7848, 6.7848 Å; angles 110.46, 107.51, 110.46 degrees
Closest atoms and distances in Å follow each position.
Fractional positions:
Au 0.6079 0.9385 0.8657  5 Cu 2.59-2.74, 1 Sc 2.74, 2 Au 2.88-2.90
Sc 0.2500 0.5000 0.7500  8 Au 2.74-2.94
Cu 0.7828 0.6499 0.6919  8 Au 2.62-2.90
Au 0.5031 0.5994 0.2405  5 Cu 2.68-2.90, 3 Au 2.82-2.97, 1 Sc 2.94
Au 0.3307 0.2578 0.3921  5 Cu 2.59-2.74, 1 Sc 2.74, 2 Au 2.88-2.90
Au 0.7595 0.2626 0.3589  5 Cu 2.68-2.90, 3 Au 2.82-2.97, 1 Sc 2.94
Cu 0.3081 0.0909 0.9580  8 Au 2.62-2.90
Au 0.9271 0.0615 0.6693  5 Cu 2.59-2.74, 1 Sc 2.74, 2 Au 2.88-2.90
Au 0.1343 0.7422 0.0729  5 Cu 2.59-2.74, 1 Sc 2.74, 2 Au 2.88-2.90
Cu 0.0420 0.3501 0.1329  8 Au 2.62-2.90
Cu 0.8671 0.9091 0.2172  8 Au 2.62-2.90
Au 0.6411 0.4006 0.9036  5 Cu 2.68-2.90, 3 Au 2.82-2.97, 1 Sc 2.94
Cu 0.5000 0.0000 0.5000  8 Au 2.59-2.68
Au 0.0964 0.7375 0.4969  5 Cu 2.68-2.90, 3 Au 2.82-2.97, 1 Sc 2.94

Summary:
ΔE_f   -0.0611 eV/atom
Uncorrected energy   -53.89 eV per cell

***

Record 2
Sc3Cu4Au2 after structural relaxation, computed with GGA-PBE.

Cell lengths 4.8539, 8.1106, 8.1106 Å; angles 75.30, 81.97, 81.97 degrees
Closest atoms and distances in Å follow each position.
Fractional positions:
Au 0.1552 0.6036 0.8409  5 Sc 2.80-2.86, 4 Cu 2.83-2.94, 1 Au 3.03
Sc 0.4053 0.2891 0.0378  6 Cu 2.70-2.96, 4 Au 2.80-2.86
Cu 0.0330 0.8275 0.0729  4 Cu 2.65-2.82, 5 Sc 2.70-2.89, 1 Au 2.88
Sc 0.9053 0.0378 0.2891  6 Cu 2.70-2.96, 4 Au 2.80-2.86
Au 0.8448 0.3964 0.1591  5 Sc 2.80-2.86, 4 Cu 2.83-2.94, 1 Au 3.03
Cu 0.7967 0.2614 0.5334  2 Cu 2.59-2.74, 4 Sc 2.75-2.87, 2 Au 2.83-2.90
Sc 0.5947 0.7109 0.9622  6 Cu 2.70-2.96, 4 Au 2.80-2.86
Cu 0.7033 0.4666 0.7386  2 Cu 2.59-2.74, 4 Sc 2.75-2.87, 2 Au 2.83-2.90
Sc 0.2500 0.3778 0.6222  8 Cu 2.75-2.89, 2 Au 2.81
Au 0.3448 0.1591 0.3964  5 Sc 2.80-2.86, 4 Cu 2.83-2.94, 1 Au 3.03
Cu 0.4670 0.9271 0.1725  4 Cu 2.65-2.82, 5 Sc 2.70-2.89, 1 Au 2.88
Cu 0.2033 0.7386 0.4666  2 Cu 2.59-2.74, 4 Sc 2.75-2.87, 2 Au 2.83-2.90
Cu 0.9670 0.1725 0.9271  4 Cu 2.65-2.82, 5 Sc 2.70-2.89, 1 Au 2.88
Cu 0.5330 0.0729 0.8275  4 Cu 2.65-2.82, 5 Sc 2.70-2.89, 1 Au 2.88
Sc 0.0947 0.9622 0.7109  6 Cu 2.70-2.96, 4 Au 2.80-2.86
Au 0.6552 0.8409 0.6036  5 Sc 2.80-2.86, 4 Cu 2.83-2.94, 1 Au 3.03
Sc 0.7500 0.6222 0.3778  8 Cu 2.75-2.89, 2 Au 2.81
Cu 0.2967 0.5334 0.2614  2 Cu 2.59-2.74, 4 Sc 2.75-2.87, 2 Au 2.83-2.90

Summary:
ΔE_f   -0.3358 eV/atom
Uncorrected energy   -89.91 eV per cell

***

Record 3
ScCu2Au after structural relaxation, computed with GGA-PBE.

Cell lengths 7.9428, 7.9428, 7.9428 Å; angles 23.36, 23.36, 23.36 degrees
Closest atoms and distances in Å follow each position.
Fractional positions:
Au 0.7458 0.7458 0.7458  3 Cu 2.70, 3 Sc 2.82
Cu 0.9942 0.9942 0.9942  3 Cu 2.49, 3 Au 2.70
Cu 0.2561 0.2561 0.2561  3 Cu 2.49, 3 Sc 2.72
Sc 0.5039 0.5039 0.5039  3 Cu 2.72, 3 Au 2.82

Summary:
ΔE_f   -0.0135 eV/atom
Uncorrected energy   -17.86 eV per cell

***

Record 4
ScCuAu3 after structural relaxation, computed with GGA-PBE.

Cell lengths 5.1175, 5.1175, 5.1175 Å; angles 90.00, 90.00, 90.00 degrees
Closest atoms and distances in Å follow each position.
Fractional positions:
Au 0.5000 0.0000 0.0000  2 Sc 2.56
Cu 0.5000 0.5000 0.5000  12 Au 3.62
Au 0.0000 0.5000 0.0000  2 Sc 2.56
Sc 0.0000 0.0000 0.0000  6 Au 2.56
Au 0.0000 0.0000 0.5000  2 Sc 2.56

Summary:
ΔE_f   0.7075 eV/atom
Uncorrected energy   -16.72 eV per cell

***

Record 5
ScCuAu after structural relaxation, computed with GGA-PBE.

Cell lengths 4.4588, 4.4588, 4.4588 Å; angles 60.00, 60.00, 60.00 degrees
Closest atoms and distances in Å follow each position.
Fractional positions:
Cu 0.5000 0.5000 0.5000  4 Sc 2.73
Sc 0.7500 0.7500 0.7500  4 Cu 2.73, 4 Au 2.73
Au 0.0000 0.0000 0.0000  4 Sc 2.73

Summary:
ΔE_f   -0.0891 eV/atom
Uncorrected energy   -13.97 eV per cell
Offset from the most stable computed form   45.5 kJ/mol of atoms

***

Record 6
Sc3CuAu2 after structural relaxation, computed with GGA-PBE.

Cell lengths 4.7573, 4.7573, 11.6922 Å; angles 90.00, 90.00, 120.00 degrees
Closest atoms and distances in Å follow each position.
Fractional positions:
Sc 0.6667 0.3333 0.0864  1 Cu 2.87, 7 Au 2.93-3.07
Sc 0.0000 0.0000 0.2544  5 Au 2.87-2.97, 3 Cu 2.89
Cu 0.3333 0.6667 0.6685  8 Sc 2.87-2.93
Au 0.3333 0.6667 0.1765  8 Sc 2.83-3.07
Au 0.0000 0.0000 0.0000  8 Sc 2.93-2.97
Sc 0.3333 0.6667 0.4189  4 Au 2.83-2.91, 4 Cu 2.92-2.93
Sc 0.3333 0.6667 0.9136  1 Cu 2.87, 7 Au 2.93-3.07
Au 0.6667 0.3333 0.8235  8 Sc 2.83-3.07
Sc 0.6667 0.3333 0.5811  4 Au 2.83-2.91, 4 Cu 2.92-2.93
Cu 0.6667 0.3333 0.3315  8 Sc 2.87-2.93
Sc 0.0000 0.0000 0.7456  5 Au 2.87-2.97, 3 Cu 2.89
Au 0.0000 0.0000 0.5000  8 Sc 2.87-2.91

Summary:
ΔE_f   -0.6264 eV/atom
Uncorrected energy   -66.81 eV per cell